1.
A plane-wave DFT calculation with PBE-GGA was carried out for an optimized crystal structure of Pr3AlNi8.

It has space group P6_3/mmc (No. 194), with a = 5.1804 Å, b = 5.1804 Å, c = 16.3441 Å, α = 90.00°, β = 90.00° and γ = 120.00°. Symmetry generates all atoms from Pr at (0.3333, 0.6667, 0.0457), Pr at (0.3333, 0.6667, 0.2500), Al at (0.0000, 0.0000, 0.0000), Ni at (0.0000, 0.0000, 0.2500), Ni at (0.1678, 0.3356, 0.6274) and Ni at (0.3333, 0.6667, 0.7500).

As for the total energy: -5.6807 eV per atom. As for the total magnetic moment: 0.000 μB/atom.

=====

2.
A plane-wave DFT calculation with PBE-GGA was carried out for an optimized crystal structure of Sr2ReHgN.

It has space group P4/mmm (No. 123), with a = 5.5304 Å, b = 5.5304 Å, c = 3.8750 Å, α = 90.00°, β = 90.00° and γ = 90.00°. Symmetry generates all atoms from Sr at (0.0000, 0.5000, 0.0000), Re at (0.0000, 0.0000, 0.5000), Hg at (0.5000, 0.5000, 0.5000) and N at (0.0000, 0.0000, 0.0000).

As for the total magnetic moment: 0.000 μB/atom. Its formation energy from raw total energies is -1.4 eV per formula unit.

=====

3.
A plane-wave DFT calculation with PBE-GGA was carried out for an optimized crystal structure of CsNaCdH4.

It has space group P2_1/m (No. 11), with a = 5.4300 Å, b = 6.1843 Å, c = 8.2072 Å, α = 90.00°, β = 103.56° and γ = 90.00°. Symmetry generates all atoms from Cs at (0.2189, 0.2500, 0.1171), Na at (0.1810, 0.7500, 0.5027), Cd at (0.3609, 0.2500, 0.6956), H at (0.1551, 0.0126, 0.7086), H at (0.3512, 0.7500, 0.1397) and H at (0.4044, 0.2500, 0.4816).

As for the total energy: -2.4875 eV per atom. As for the total magnetic moment: 0.000 μB/atom.

=====

4.
A plane-wave DFT calculation with PBE-GGA was carried out for an optimized crystal structure of Mg4Ag3Bi.

It has space group R-3m (No. 166, hexagonal axes), with a = 4.7711 Å, b = 4.7711 Å, c = 25.5422 Å, α = 90.00°, β = 90.00° and γ = 120.00°. Symmetry generates all atoms from Mg at (0.0000, 0.0000, 0.1110), Mg at (0.0000, 0.0000, 0.3715), Ag at (0.0000, 0.0000, 0.0000), Ag at (0.0000, 0.0000, 0.2617) and Bi at (0.0000, 0.0000, 0.5000).

As for the total energy: -2.5338 eV per atom. As for the total magnetic moment: 0.000 μB/atom.

=====

Question: Look up the total magnetic moment of the second one.
Answer: 0.000 μB/atom

=====

Question: Look up the total magnetic moment of the third one.
Answer: 0.000 μB/atom